Entry 1:
DFT (GGA-PBEsol) results for an optimized crystal structure of Li2CdCo.

As for the total energy: -3.0711 eV/atom. For the density of states at the Fermi level, the calculation gives 3.074 states/eV/cell. As for the crystal system: monoclinic.

Unit cell a=5.2897 b=9.0718 c=2.6749 alpha=90.00 beta=115.72 gamma=90.00
Closest atoms and distances in Å follow each position.
Space group C2/m (No. 12)
One atom of each set of equivalent atoms:
Li (0.2500, 0.2500, 0.0000) [4 per cell]  6 Li 2.64-2.83, 2 Co 2.67, 2 Cd 2.67
Cd (0.0000, 0.0000, 0.5000) [2 per cell]  4 Co 2.64-2.83, 4 Li 2.67, 2 Cd 2.67
Co (0.0000, 0.5000, 0.5000) [2 per cell]  4 Cd 2.64-2.83, 4 Li 2.67, 2 Co 2.67

---

Entry 2:
DFT (GGA-PBEsol) results for an optimized crystal structure of RbAgHg2Sb.

As for the total energy: -1.0153 eV/atom. For the density of states at the Fermi level, the calculation gives 3.238 states/eV/cell. Its raw formation energy is 0.990 eV/atom. As for the crystal system: tetragonal.

Unit cell a=5.9747 b=5.9747 c=5.8248 alpha=90.00 beta=90.00 gamma=90.00
Closest atoms and distances in Å follow each position.
Space group P4/mmm (No. 123)
One atom of each set of equivalent atoms:
Rb (0.0000, 0.0000, 0.0000) [1 per cell]  2 Ag 2.91, 4 Hg 2.99
Ag (0.0000, 0.0000, 0.5000) [1 per cell]  2 Rb 2.91
Hg (0.0000, 0.5000, 0.0000) [2 per cell]  2 Rb 2.99
Sb (0.5000, 0.5000, 0.5000) [1 per cell]  8 Hg 4.17, 4 Ag 4.22

---

Entry 3:
DFT (GGA-PBEsol) results for an optimized crystal structure of Dy2Al6Si4Au.

As for the total energy: -5.1328 eV/atom. For the density of states at the Fermi level, the calculation gives 8.585 states/eV/cell. Its raw formation energy is -0.408 eV/atom. As for the crystal system: trigonal.

Unit cell a=4.1721 b=4.1721 c=49.6823 alpha=90.00 beta=90.00 gamma=120.00
Closest atoms and distances in Å follow each position.
Space group R-3m (No. 166, hexagonal axes)
One atom of each set of equivalent atoms:
Dy (0.0000, 0.0000, 0.0655) [6 per cell]  6 Si 2.92-2.93
Al (0.0000, 0.0000, 0.1832) [6 per cell]  3 Au 2.55, 1 Si 2.56
Al (0.0000, 0.0000, 0.3144) [6 per cell]  4 Si 2.49-2.52
Al (0.0000, 0.0000, 0.4476) [6 per cell]  3 Si 2.53, 1 Au 2.60
Si (0.0000, 0.0000, 0.2347) [6 per cell]  4 Al 2.53-2.56
Si (0.0000, 0.0000, 0.3652) [6 per cell]  4 Al 2.49-2.52
Au (0.0000, 0.0000, 0.5000) [3 per cell]  8 Al 2.55-2.60

---

Entry 4:
DFT (GGA-PBEsol) results for an optimized crystal structure of PNF2.

As for the total energy: -6.3655 eV/atom. For the density of states at the Fermi level, the calculation gives 0.000 states/eV/cell. Its raw formation energy is -1.822 eV/atom. As for the crystal system: orthorhombic.

Unit cell a=8.8089 b=5.4832 c=4.9782 alpha=90.00 beta=90.00 gamma=90.00
Closest atoms and distances in Å follow each position.
Space group Cmc2_1 (No. 36)
One atom of each set of equivalent atoms:
P (0.0000, 0.1358, 0.0000) [4 per cell]  2 N 1.55-1.56, 2 F 1.56
N (0.0000, 0.0883, 0.6914) [4 per cell]  2 P 1.55-1.56
F (0.1340, 0.3116, 0.0639) [8 per cell]  1 P 1.56

---

Entry 5:
DFT (GGA-PBEsol) results for an optimized crystal structure of Ta4ZnCo.

As for the total energy: -9.2446 eV/atom. For the density of states at the Fermi level, the calculation gives 17.914 states/eV/cell. As for the crystal system: cubic.

Unit cell a=7.4634 b=7.4634 c=7.4634 alpha=90.00 beta=90.00 gamma=90.00
Closest atoms and distances in Å follow each position.
Space group F-43m (No. 216)
One atom of each set of equivalent atoms:
Ta (0.1253, 0.1253, 0.1253) [16 per cell]  6 Ta 2.63-2.65
Zn (0.0000, 0.0000, 0.5000) [4 per cell]  12 Ta 3.09, 4 Co 3.23
Co (0.2500, 0.2500, 0.7500) [4 per cell]  12 Ta 3.09, 4 Zn 3.23

---

Entry 6:
DFT (GGA-PBEsol) results for an optimized crystal structure of ZnCu2SnS4.

As for the total energy: -4.4731 eV/atom. For the density of states at the Fermi level, the calculation gives 0.551 states/eV/cell. Its raw formation energy is -0.467 eV/atom. As for the crystal system: orthorhombic.

Unit cell a=7.5555 b=6.5593 c=6.2565 alpha=90.00 beta=90.00 gamma=90.00
Closest atoms and distances in Å follow each position.
Space group Pmn2_1 (No. 31)
One atom of each set of equivalent atoms:
Zn (0.0000, 0.1657, 0.0000) [2 per cell]  4 S 2.32-2.34
Cu (0.2495, 0.6688, 0.0045) [4 per cell]  4 S 2.26-2.28
Sn (0.0000, 0.8363, 0.5004) [2 per cell]  4 S 2.43-2.45
S (0.0000, 0.1865, 0.3722) [2 per cell]  2 Cu 2.27, 1 Zn 2.33, 1 Sn 2.43
S (0.0000, 0.8271, 0.8913) [2 per cell]  2 Cu 2.27, 1 Zn 2.32, 1 Sn 2.45
S (0.2417, 0.3470, 0.8658) [4 per cell]  2 Cu 2.26-2.28, 1 Zn 2.34, 1 Sn 2.44

---

Entry 7:
DFT (GGA-PBEsol) results for an optimized crystal structure of AgSnIr3.

As for the total energy: -5.3548 eV/atom. For the density of states at the Fermi level, the calculation gives 9.607 states/eV/cell. As for the crystal system: cubic.

Unit cell a=4.7954 b=4.7954 c=4.7954 alpha=90.00 beta=90.00 gamma=90.00
Closest atoms and distances in Å follow each position.
Space group Pm-3m (No. 221)
One atom of each set of equivalent atoms:
Ag (0.0000, 0.0000, 0.0000) [1 per cell]  12 Ir 3.39
Sn (0.5000, 0.5000, 0.5000) [1 per cell]  6 Ir 2.40
Ir (0.0000, 0.5000, 0.5000) [3 per cell]  2 Sn 2.40

---

Entry 8:
DFT (GGA-PBEsol) results for an optimized crystal structure of TbNiSn2.

As for the total energy: -5.5607 eV/atom. For the density of states at the Fermi level, the calculation gives 17.991 states/eV/cell. As for the crystal system: orthorhombic.

Unit cell a=15.9035 b=4.3932 c=14.4490 alpha=90.00 beta=90.00 gamma=90.00
Closest atoms and distances in Å follow each position.
Space group Pnma (No. 62)
One atom of each set of equivalent atoms:
Tb (0.1250, 0.2500, 0.2302) [4 per cell]  2 Ni 3.08, 9 Sn 3.11-3.44
Tb (0.1453, 0.7500, 0.6069) [4 per cell]  4 Ni 3.12-3.21, 7 Sn 3.12-3.42
Tb (0.1503, 0.2500, 0.9722) [4 per cell]  8 Sn 3.09-3.15, 6 Ni 3.24-3.39
Ni (0.0510, 0.7500, 0.1050) [4 per cell]  5 Sn 2.51-2.70
Ni (0.1978, 0.2500, 0.7490) [4 per cell]  5 Sn 2.46-2.72
Ni (0.2007, 0.2500, 0.4567) [4 per cell]  5 Sn 2.49-2.62
Sn (0.0210, 0.7500, 0.9212) [4 per cell]  3 Ni 2.51-2.70
Sn (0.0344, 0.2500, 0.7405) [4 per cell]  2 Ni 2.60-2.61
Sn (0.0439, 0.2500, 0.4512) [4 per cell]  1 Ni 2.49
Sn (0.1731, 0.7500, 0.3729) [4 per cell]  3 Ni 2.55-2.72
Sn (0.1862, 0.7500, 0.8253) [4 per cell]  3 Ni 2.46-2.62
Sn (0.2132, 0.7500, 0.1062) [4 per cell]  3 Ni 2.50-2.58

---

Entry 9:
DFT (GGA-PBEsol) results for an optimized crystal structure of KNa2Li2.

As for the total energy: -1.4924 eV/atom. For the density of states at the Fermi level, the calculation gives 5.292 states/eV/cell. As for the crystal system: tetragonal.

Unit cell a=9.8770 b=9.8770 c=3.6210 alpha=90.00 beta=90.00 gamma=90.00
Closest atoms and distances in Å follow each position.
Space group P4/mbm (No. 127)
One atom of each set of equivalent atoms:
K (0.0000, 0.0000, 0.0000) [2 per cell]  2 K 3.62, 4 Na 3.88
Na (0.1293, 0.3707, 0.0000) [4 per cell]  6 Li 3.42, 3 Na 3.61-3.62
Li (0.1627, 0.6627, 0.5000) [4 per cell]  6 Na 3.42, 2 Li 3.62

---

Entry 10:
DFT (GGA-PBEsol) results for an optimized crystal structure of Ba2NdTaO6.

As for the total energy: -8.4439 eV/atom. For the density of states at the Fermi level, the calculation gives 0.000 states/eV/cell. Its raw formation energy is -3.093 eV/atom. As for the crystal system: cubic.

Unit cell a=8.5973 b=8.5973 c=8.5973 alpha=90.00 beta=90.00 gamma=90.00
Closest atoms and distances in Å follow each position.
Space group Fm-3m (No. 225)
One atom of each set of equivalent atoms:
Ba (0.2500, 0.2500, 0.2500) [8 per cell]  12 O 3.04
Nd (0.0000, 0.0000, 0.0000) [4 per cell]  6 O 2.31
Ta (0.0000, 0.0000, 0.5000) [4 per cell]  6 O 1.99
O (0.0000, 0.0000, 0.2684) [24 per cell]  1 Ta 1.99

---

Entry 11:
DFT (GGA-PBEsol) results for an optimized crystal structure of RbFeP2H2O8.

As for the total energy: -6.8413 eV/atom. For the density of states at the Fermi level, the calculation gives 90.765 states/eV/cell. As for the crystal system: trigonal.

Unit cell a=8.0777 b=8.0777 c=52.1126 alpha=90.00 beta=90.00 gamma=120.00
Closest atoms and distances in Å follow each position.
Space group R-3c (No. 167, hexagonal axes)
One atom of each set of equivalent atoms:
Rb (0.0000, 0.0000, 0.1684) [12 per cell]  6 O 2.92-3.25
Rb (0.0000, 0.0000, 0.2500) [6 per cell]  12 O 3.02-3.27, 6 H 3.22
Fe (0.0000, 0.0000, 0.0000) [6 per cell]  6 O 2.01
Fe (0.0000, 0.0000, 0.0860) [12 per cell]  6 O 1.88-1.93
P (0.0277, 0.4228, 0.2136) [36 per cell]  4 O 1.52-1.59
H (0.0421, 0.4768, 0.0481) [36 per cell]  1 O 1.06
O (0.0437, 0.4670, 0.9588) [36 per cell]  1 H 1.06
O (0.0707, 0.2200, 0.9340) [36 per cell]  1 P 1.54
O (0.0716, 0.2161, 0.1082) [36 per cell]  1 H 1.41, 1 P 1.57
O (0.0971, 0.5282, 0.1883) [36 per cell]  1 P 1.52

---

Entry 12:
DFT (GGA-PBEsol) results for an optimized crystal structure of Ca3Er2Sn3S12.

As for the total energy: -5.4583 eV/atom. Its raw formation energy is -1.376 eV/atom. As for the crystal system: orthorhombic.

Unit cell a=3.8353 b=19.7253 c=11.3453 alpha=90.00 beta=90.00 gamma=90.00
Closest atoms and distances in Å follow each position.
Space group Amm2 (No. 38)
One atom of each set of equivalent atoms:
Ca (0.0000, 0.0000, 0.0000) [2 per cell]  7 S 2.77-2.88
Ca (0.0000, 0.1666, 0.2160) [4 per cell]  7 S 2.86-3.09
Er (0.0000, 0.1419, 0.5750) [4 per cell]  7 S 2.73-2.82
Sn (0.5000, 0.0000, 0.3891) [2 per cell]  6 S 2.51-2.63
Sn (0.5000, 0.1647, 0.8809) [4 per cell]  6 S 2.49-2.60
S (0.0000, 0.0000, 0.2439) [2 per cell]  2 Sn 2.53, 1 Ca 2.77
S (0.0000, 0.0000, 0.5471) [2 per cell]  2 Sn 2.63, 2 Er 2.82
S (0.0000, 0.0893, 0.7990) [4 per cell]  2 Sn 2.60, 1 Er 2.74, 1 Ca 2.88
S (0.0000, 0.2438, 0.9392) [4 per cell]  2 Sn 2.56, 1 Er 2.73
S (0.5000, 0.0998, 0.0688) [4 per cell]  1 Sn 2.49
S (0.5000, 0.1267, 0.4044) [4 per cell]  1 Sn 2.51, 2 Er 2.74
S (0.5000, 0.2210, 0.6776) [4 per cell]  1 Sn 2.56, 2 Er 2.73